6
Lattice="3.968 0.000 0.000 0.000 3.968 0.000 0.000 0.000 9.081" Properties=species:S:1:pos:R:3 comment="GGA-PBE CaTaSe, relaxed" crystal_system=tetragonal total_energy_ev_per_atom=-6.31 e_form_raw_ev_per_atom=-0.534 pbc="T T T"
Ca 0.992 0.992 1.472
Ca 2.976 2.976 7.609
Ta 0.992 2.976 4.541
Ta 2.976 0.992 4.541
Se 0.992 0.992 6.435
Se 2.976 2.976 2.646



5
Lattice="-1.962 1.962 7.017 1.962 -1.962 7.017 1.962 1.962 -7.017" Properties=species:S:1:pos:R:3 comment="GGA-PBE CaTa2Se2, relaxed" crystal_system=tetragonal total_energy_ev_per_atom=-7.09 e_form_raw_ev_per_atom=-0.552 pbc="T T T"
Ca 0.000 0.000 0.000
Ta 1.962 0.000 3.509
Ta 0.000 1.962 3.509
Se 0.000 0.000 5.384
Se 0.000 0.000 8.650



3
Lattice="0.000 3.228 3.228 3.228 0.000 3.228 3.228 3.228 0.000" Properties=species:S:1:pos:R:3 comment="GGA-PBE CaTaSe, relaxed" crystal_system=cubic total_energy_ev_per_atom=-5.50 e_form_raw_ev_per_atom=0.278 pbc="T T T"
Ca 0.000 0.000 0.000
Ta 3.228 3.228 3.228
Se 1.614 1.614 1.614



3
Lattice="3.470 0.000 0.000 -1.735 3.005 0.000 0.000 0.000 6.484" Properties=species:S:1:pos:R:3 comment="GGA-PBE CaTaSe, relaxed" crystal_system=trigonal total_energy_ev_per_atom=-6.10 e_form_raw_ev_per_atom=-0.320 pbc="T T T"
Ca 0.000 0.000 0.000
Ta 0.000 2.004 3.893
Se 1.735 1.002 2.216



5
Lattice="4.847 0.000 0.000 0.000 4.847 0.000 0.000 0.000 4.847" Properties=species:S:1:pos:R:3 comment="GGA-PBE CaTa3Se, relaxed" crystal_system=cubic total_energy_ev_per_atom=-7.45 e_form_raw_ev_per_atom=0.763 pbc="T T T"
Ca 0.000 0.000 0.000
Ta 0.000 2.423 2.423
Ta 2.423 0.000 2.423
Ta 2.423 2.423 0.000
Se 2.423 2.423 2.423



6
Lattice="0.000 4.021 4.021 4.021 0.000 4.021 4.021 4.021 0.000" Properties=species:S:1:pos:R:3 comment="GGA-PBE CaTa4Se, relaxed" crystal_system=cubic total_energy_ev_per_atom=-8.21 e_form_raw_ev_per_atom=0.603 pbc="T T T"
Ca 0.000 0.000 0.000
Ta 2.982 2.982 2.982
Ta 5.061 5.061 2.982
Ta 5.061 2.982 5.061
Ta 2.982 5.061 5.061
Se 6.032 6.032 6.032



5
Lattice="4.810 0.000 0.000 0.000 4.810 0.000 0.000 0.000 4.810" Properties=species:S:1:pos:R:3 comment="GGA-PBE CaTa3Se, relaxed" crystal_system=cubic total_energy_ev_per_atom=-5.63 e_form_raw_ev_per_atom=2.578 pbc="T T T"
Ca 0.000 0.000 0.000
Ta 0.000 0.000 2.405
Ta 0.000 2.405 0.000
Ta 2.405 0.000 0.000
Se 2.405 2.405 2.405



5
Lattice="5.480 0.000 0.000 0.000 5.480 0.000 0.000 0.000 5.480" Properties=species:S:1:pos:R:3 comment="GGA-PBE Ca3TaSe, relaxed" crystal_system=cubic total_energy_ev_per_atom=-3.46 e_form_raw_ev_per_atom=0.809 pbc="T T T"
Ca 0.000 0.000 2.740
Ca 0.000 2.740 0.000
Ca 2.740 0.000 0.000
Ta 0.000 0.000 0.000
Se 2.740 2.740 2.740